# 1
MnZn2Re: optimized geometry, GGA-PBE.

Cell and atoms, written as POSCAR:
```
MnZn2Re
1.0
-1.9397 -0.2846 3.8725
2.3258 0.0035 1.1652
0.6530 4.9377 0.6900
Mn Re Zn
1 1 2
Direct
0.5000 0.2500 0.2500
0.5000 0.7500 0.7500
0.0000 0.0361 0.0027
0.0000 0.4639 0.4973
```

energy above the lowest structure with this stoichiometry = 0.130 eV per atom
SG = No. 10
energy of formation = 18 kJ/mol of atoms
uncorrected energy = -0.2152 Ha/atom

# 2
K3Rb12H5: optimized geometry, GGA-PBE.

Cell and atoms, written as POSCAR:
```
K3Rb12H5
1.0
-8.5395 15.2699 -4.9915
-10.9749 -9.8933 10.6151
15.1222 4.2342 9.1868
K H Rb
12 20 48
Direct
0.7500 0.3750 0.1250
0.8750 0.7500 0.1250
0.3750 0.7500 0.6250
0.2500 0.1250 0.3750
0.8750 0.1250 0.2500
0.3750 0.6250 0.2500
0.6250 0.3750 0.7500
0.1250 0.8750 0.7500
0.7500 0.8750 0.6250
0.6250 0.2500 0.3750
0.1250 0.2500 0.8750
0.2500 0.6250 0.8750
0.1250 0.3750 0.2500
0.0000 0.5000 0.0000
0.0000 0.0000 0.0000
0.3750 0.2500 0.1250
0.5000 0.0000 0.5000
0.5000 0.5000 0.0000
0.1250 0.7500 0.3750
0.7500 0.1250 0.8750
0.7500 0.6250 0.3750
0.3750 0.1250 0.7500
0.6250 0.8750 0.2500
0.5000 0.5000 0.5000
0.5000 0.0000 0.0000
0.0000 0.0000 0.5000
0.2500 0.3750 0.6250
0.2500 0.8750 0.1250
0.0000 0.5000 0.5000
0.8750 0.2500 0.6250
0.6250 0.7500 0.8750
0.8750 0.6250 0.7500
0.6809 0.0966 0.9876
0.3067 0.4876 0.3910
0.0124 0.4034 0.3191
0.4876 0.1809 0.0966
0.5843 0.6809 0.6933
0.0124 0.6090 0.1933
0.3067 0.8191 0.4157
0.1090 0.9157 0.0966
0.6090 0.0124 0.6933
0.6809 0.5843 0.1933
0.8191 0.5124 0.4034
0.8067 0.8910 0.9876
0.0966 0.6809 0.4876
0.4034 0.3910 0.0843
0.0843 0.8910 0.4034
0.4157 0.0966 0.6090
0.0843 0.1933 0.1809
0.5124 0.6933 0.1090
0.8067 0.9157 0.3191
0.0966 0.4157 0.1090
0.4034 0.0124 0.8191
0.6090 0.5966 0.4157
0.8910 0.8067 0.4876
0.8191 0.3067 0.9157
0.3910 0.4034 0.5843
0.1090 0.1933 0.5124
0.1809 0.6933 0.0843
0.1933 0.0843 0.6809
0.5966 0.9876 0.1809
0.9034 0.5843 0.8910
0.4876 0.3067 0.8910
0.5843 0.9034 0.3910
0.9157 0.8067 0.8191
0.9157 0.1090 0.5966
0.9034 0.3191 0.5124
0.1933 0.1090 0.0124
0.5966 0.6090 0.9157
0.3910 0.9876 0.3067
0.3191 0.4157 0.8067
0.1809 0.4876 0.5966
0.8910 0.0843 0.9034
0.6933 0.1809 0.5843
0.5124 0.8191 0.9034
0.9876 0.3910 0.8067
0.4157 0.3191 0.3067
0.9876 0.5966 0.6809
0.6933 0.5124 0.6090
0.3191 0.9034 0.0124
```

SG = No. 230
uncorrected energy = -0.0560 Ha/atom

# 3
TaHSeN2: optimized geometry, GGA-PBE.

Cell and atoms, written as POSCAR:
```
TaHSeN2
1.0
-2.4219 2.8483 -1.2683
1.2463 -0.5877 -3.6997
-3.9059 -3.6490 -0.7361
H N Se Ta
1 2 1 1
Direct
0.5000 0.5000 0.5000
0.0000 0.5000 0.0000
0.5000 0.0000 0.0000
0.0000 0.0000 0.5000
0.0000 0.0000 0.0000
```

energy above the lowest structure with this stoichiometry = 0.000 eV per atom
SG = No. 123
uncorrected energy = -0.2322 Ha/atom

# 4
CsK2YCl6: optimized geometry, GGA-PBE.

Cell and atoms, written as POSCAR:
```
CsK2YCl6
1.0
7.8634 0.0010 0.0001
3.9325 6.8095 -0.0006
3.9316 2.2698 6.9396
Cs K Y Cl
1 2 1 6
Direct
0.8077 0.8077 0.5767
0.5275 0.5274 0.4177
0.0123 0.0123 0.9632
0.3246 0.3245 0.0264
0.5552 0.2373 0.2286
0.2373 0.9790 0.2285
0.9790 0.5553 0.2285
0.3846 0.6795 0.7819
0.6796 0.1538 0.7819
0.1539 0.3846 0.7819
```

SG = No. 146
uncorrected formation energy = -2130 meV/atom
uncorrected energy = -0.1539 Ha/atom

# 5
Nd2Dy3Ho6Tm: optimized geometry, GGA-PBE.

Cell and atoms, written as POSCAR:
```
Nd2Dy3Ho6Tm
1.0
6.1466 0.0013 0.0063
-3.0707 5.3246 0.0063
-1.0326 -1.7880 11.5798
Nd Dy Ho Tm
2 3 6 1
Direct
0.3335 0.6665 0.0000
0.6665 0.3335 0.0000
0.1664 0.8336 0.5000
0.8336 0.1664 0.5000
0.5000 0.5000 0.5000
0.9156 0.5833 0.7479
0.7523 0.7523 0.2525
0.0844 0.4167 0.2521
0.5833 0.9156 0.7479
0.2477 0.2477 0.7475
0.4167 0.0844 0.2521
0.0000 0.0000 0.0000
```

SG = No. 12
energy of formation = 2 kJ/mol of atoms
uncorrected energy = -0.1686 Ha/atom

# 6
PmTiCd: optimized geometry, GGA-PBE.

Cell and atoms, written as POSCAR:
```
PmTiCd
1.0
3.2540 0.0000 0.0000
-1.6270 2.8151 0.0000
0.0000 0.0000 15.7302
Cd Ti Pm
2 2 2
Direct
0.6125 0.2250 0.0000
0.2773 0.5545 0.5000
0.6110 0.2220 0.3478
0.6110 0.2220 0.6522
0.2774 0.5549 0.8129
0.2774 0.5549 0.1871
```

SG = No. 38
energy of formation = 18 kJ/mol of atoms
uncorrected energy = -0.1591 Ha/atom

# 7
LiH3Pt: optimized geometry, GGA-PBE.

Cell and atoms, written as POSCAR:
```
LiH3Pt
1.0
-0.1606 -1.6133 -3.2764
4.6265 1.8668 -1.1460
2.1063 -3.0966 3.4592
H Pt Li
6 2 2
Direct
0.8578 0.9732 0.2154
0.1422 0.0268 0.7846
0.8578 0.5268 0.2154
0.1422 0.4732 0.7846
0.4390 0.2500 0.3780
0.5610 0.7500 0.6220
0.9482 0.2500 0.3963
0.0518 0.7500 0.6037
0.6637 0.2500 0.8277
0.3363 0.7500 0.1723
```

SG = No. 63
uncorrected energy = -0.1423 Ha/atom

# 8
Tb6Pm2Er: optimized geometry, GGA-PBE.

Cell and atoms, written as POSCAR:
```
Tb6Pm2Er
1.0
5.7821 1.4921 1.4446
3.6791 11.1916 -1.4971
3.6791 -1.1337 11.2342
Tb Pm Er
12 4 2
Direct
0.3402 0.6675 0.4944
0.1598 0.5056 0.3325
0.6598 0.3325 0.5056
0.8402 0.4944 0.6675
0.9142 0.9186 0.4154
0.5858 0.5846 0.0814
0.0858 0.0814 0.5846
0.4142 0.4154 0.9186
0.1633 0.8353 0.0023
0.3367 0.9977 0.1647
0.8367 0.1647 0.9977
0.6633 0.0023 0.8353
0.0044 0.6681 0.8309
0.4956 0.1691 0.3319
0.9956 0.3319 0.1691
0.5044 0.8309 0.6681
0.2500 0.2472 0.7528
0.7500 0.7528 0.2472
```

energy above the lowest structure with this stoichiometry = 0.000 eV per atom
SG = No. 15
energy of formation = 11 kJ/mol of atoms
uncorrected energy = -0.1668 Ha/atom

# 9
SmY3Er4S8: optimized geometry, GGA-PBE.

Cell and atoms, written as POSCAR:
```
SmY3Er4S8
1.0
7.7971 0.0000 -0.0001
0.0000 7.8206 0.0112
-3.8986 -3.8947 5.5161
Sm Y Er S
1 3 4 8
Direct
0.0000 0.5000 0.0000
0.5000 0.5000 0.0000
0.5000 0.5000 0.5000
0.0000 0.5000 0.5000
0.5000 0.0000 0.0000
0.5000 0.0000 0.5000
0.0000 0.0000 0.0000
0.0000 0.0000 0.5000
0.2548 0.7587 0.0039
0.2548 0.7587 0.5096
0.2481 0.2443 0.4962
0.7491 0.7587 0.0039
0.2509 0.2413 0.9961
0.7519 0.7557 0.5038
0.7452 0.2413 0.4904
0.7452 0.2413 0.9961
```

SG = No. 166
uncorrected formation energy = -1975 meV/atom
uncorrected energy = -0.2457 Ha/atom

# 10
Dy2Y2InGa4: optimized geometry, GGA-PBE.

Cell and atoms, written as POSCAR:
```
Dy2Y2InGa4
1.0
6.7781 0.1078 0.1556
-3.1590 5.9979 -0.1556
-3.1590 -2.2530 5.5608
Dy Y In Ga
2 2 1 4
Direct
0.0000 0.6844 0.6844
0.0000 0.3156 0.3156
0.5000 0.7500 0.2500
0.5000 0.2500 0.7500
0.0000 0.0000 0.0000
0.0000 0.7389 0.2611
0.4778 0.7389 0.7389
0.0000 0.2611 0.7389
0.5222 0.2611 0.2611
```

SG = No. 139
energy of formation = -16 kJ/mol of atoms
uncorrected energy = -0.1572 Ha/atom

# 11
La2HfCu2: optimized geometry, GGA-PBE.

Cell and atoms, written as POSCAR:
```
La2HfCu2
1.0
-2.4735 7.5409 -0.1399
-7.4421 -2.4163 1.3343
0.5873 0.2622 3.7507
Hf Cu La
2 4 4
Direct
0.0000 0.0000 0.0000
0.5000 0.5000 0.0000
0.3816 0.8816 0.0000
0.8816 0.6184 0.0000
0.6184 0.1184 0.0000
0.1184 0.3816 0.0000
0.1812 0.6812 0.5000
0.6812 0.8188 0.5000
0.8188 0.3188 0.5000
0.3188 0.1812 0.5000
```

SG = No. 127
energy of formation = 5 kJ/mol of atoms
uncorrected energy = -0.2039 Ha/atom

# 12
PrSm2Pt2: optimized geometry, GGA-PBE.

Cell and atoms, written as POSCAR:
```
PrSm2Pt2
1.0
-2.0431 -2.7066 -2.1203
6.5095 -4.6265 -0.3667
-2.2046 -3.6383 6.7687
Pr Sm Pt
2 4 4
Direct
0.5000 0.5000 0.0000
0.5000 0.0000 0.5000
0.0000 0.6619 0.3381
0.0000 0.8381 0.8381
0.0000 0.1619 0.1619
0.0000 0.3381 0.6619
0.5000 0.3673 0.3673
0.5000 0.8673 0.1327
0.5000 0.1327 0.8673
0.5000 0.6327 0.6327
```

energy above the lowest structure with this stoichiometry = 0.000 eV per atom
SG = No. 127
energy of formation = -91 kJ/mol of atoms
uncorrected energy = -0.2278 Ha/atom

Spin magnetization list, top to bottom, in μB per formula unit: 2.67, 0.00, 0.14, 0.00, 0.00, 0.00, 0.00, 0.00, 0.00, 0.00, 0.00, 0.00